# Al2ReBr | Alexandria | PBE | optimized geometry
data_Al2ReBr
_symmetry_space_group_name_H-M 'R -3 m'
_symmetry_Int_Tables_number 166
_symmetry_space_group_name_Hall '-R 3 2"'
_cell_length_a 3.1503
_cell_length_b 3.1503
_cell_length_c 24.2779
_cell_angle_alpha 90.00
_cell_angle_beta 90.00
_cell_angle_gamma 120.00
loop_
_atom_site_label
_atom_site_type_symbol
_atom_site_fract_x
_atom_site_fract_y
_atom_site_fract_z
Al1 Al 0.0000 0.0000 0.2423
Re1 Re 0.0000 0.0000 0.5000
Br1 Br 0.0000 0.0000 0.0000
# - DOS at the Fermi energy: 0.3168 states/eV per atom
# - Formation energy (no corrections): 1.2 kcal/mol of atoms
# - Total DFT energy (no corrections): -5.35 eV per atom